A geometry-optimized CaMg14Nb structure, computed with PBE.

Computed properties:
DFT formation energy (kJ per mole of atoms): 9.1
Mass density (Mg/m³): 2.108
Energy relative to the lowest polymorph listed for this composition (meV/atom): 12.9
Total energy (eV/atom): -2.055

Lattice parameters (Å, degrees): 10.3400 6.4680 11.1484 90.00 90.00 90.00
Space group Amm2 (No. 38)
One atom of each set of equivalent atoms:
Ca1 0.0000 0.0000 0.0000 x2
Mg1 0.0000 0.2489 0.7502 x4
Mg2 0.2361 0.0000 0.3440 x4
Mg3 0.2482 0.2402 0.5863 x8
Mg4 0.2582 0.0000 0.8334 x4
Mg5 0.5000 0.0000 0.0069 x2
Mg6 0.5000 0.0000 0.5059 x2
Mg7 0.5000 0.2447 0.2556 x4
Nb1 0.0000 0.0000 0.5102 x2

---

A geometry-optimized Pd3CF structure, computed with PBE.

Computed properties:
Formation energy (no corrections) (meV/atom): 91
Mass density (Mg/m³): 8.420
Energy relative to the lowest polymorph listed for this composition (meV/atom): 0.0
Total energy (eV/atom): -5.244

Lattice parameters (Å, degrees): 4.1031 4.1031 4.1031 90.00 90.00 90.00
Space group Pm-3m (No. 221)
One atom of each set of equivalent atoms:
Pd1 0.0000 0.0000 0.5000 x3
C1 0.0000 0.0000 0.0000 x1
F1 0.5000 0.5000 0.5000 x1

---

A geometry-optimized Tm3ThPb2 structure, computed with PBE.

Computed properties:
DFT formation energy (kJ per mole of atoms): -26.8
Mass density (Mg/m³): 11.404
Energy relative to the lowest polymorph listed for this composition (meV/atom): 31.1
Total energy (eV/atom): -4.986

Lattice parameters (Å, degrees): 5.5202 3.6091 8.8617 90.00 107.99 90.00
Space group P2/m (No. 10)
One atom of each set of equivalent atoms:
Tm1 0.0000 0.0000 0.0000 x1
Tm2 0.3229 0.0000 0.6456 x2
Th1 0.5000 0.5000 0.0000 x1
Pb1 0.1565 0.5000 0.3125 x2